[1]
A plane-wave DFT calculation with PBE was carried out for V2AgI after structural relaxation.

Results
For the distance to the lowest polymorph of the same formula, the calculation gives 0 meV per atom. The energy comes out at -4.84 eV per atom. The density of states at the Fermi level comes out at 4.6 states/eV/f.u. As for the uncorrected formation energy: 3.3 eV/f.u.

abc: 4.6287 4.6287 4.6287
angles: 60.00 60.00 60.00
With the nearest neighbours (Å) after each atom.
Sites, in units of the cell vectors:
V  0.2500  0.2500  0.2500  4 I 2.83, 4 Ag 2.83
V  0.7500  0.7500  0.7500  4 Ag 2.83, 4 I 2.83
Ag  0.0000  0.0000  0.0000  8 V 2.83
I  0.5000  0.5000  0.5000  8 V 2.83

[2]
A plane-wave DFT calculation with PBE was carried out for SrTc2Pb after structural relaxation.

Results
The energy comes out at -5.55 eV per atom. The density of states at the Fermi level comes out at 5.2 states/eV/f.u. Its formation energy is 978 meV/atom.

abc: 5.8158 5.8158 3.0050
angles: 103.30 103.30 114.75
With the nearest neighbours (Å) after each atom.
Sites, in units of the cell vectors:
Sr  0.0000  0.0000  0.0000  4 Tc 2.95, 2 Sr 3.00, 4 Pb 3.14-3.29
Tc  0.0000  0.5000  0.5000  2 Pb 2.95, 2 Sr 2.95, 6 Tc 3.00-3.29
Tc  0.5000  0.0000  0.5000  2 Pb 2.95, 2 Sr 2.95, 6 Tc 3.00-3.29
Pb  0.5000  0.5000  0.0000  4 Tc 2.95, 2 Pb 3.00, 4 Sr 3.14-3.29

[3]
A plane-wave DFT calculation with PBE was carried out for KCoNi2 after structural relaxation.

Results
For the distance to the lowest polymorph of the same formula, the calculation gives 555 meV per atom. The energy comes out at -3.86 eV per atom. The density of states at the Fermi level comes out at 5.0 states/eV/f.u. Its formation energy is 1083 meV/atom.

abc: 2.6174 4.7351 4.9373
angles: 90.00 90.00 90.00
With the nearest neighbours (Å) after each atom.
Sites, in units of the cell vectors:
K  0.0000  0.0000  0.0000  2 K 2.62, 4 Ni 2.71, 4 Co 2.79
Co  0.5000  0.0000  0.5000  2 Co 2.62, 4 Ni 2.71, 4 K 2.79
Ni  0.0000  0.5000  0.5000  6 Ni 2.62-2.79, 4 Co 2.71
Ni  0.5000  0.5000  0.0000  6 Ni 2.62-2.79, 4 K 2.71

[4]
A plane-wave DFT calculation with PBE was carried out for Er2Bi5O12 after structural relaxation.

Results
The energy comes out at -6.31 eV per atom. The density of states at the Fermi level comes out at 7.9 states/eV/f.u. As for the uncorrected formation energy: -31.8 eV/f.u.

abc: 7.1072 7.1072 7.2854
angles: 103.98 103.98 56.23
With the nearest neighbours (Å) after each atom.
Sites, in units of the cell vectors:
Er  0.2435  0.7565  0.0000  6 O 2.21-2.26
Er  0.7565  0.2435  0.0000  6 O 2.21-2.26
Bi  0.0000  0.0000  0.5000  6 O 2.18-2.21
Bi  0.2999  0.2999  0.6345  6 O 2.27-2.54
Bi  0.3051  0.3051  0.1427  5 O 2.24-2.50
Bi  0.6949  0.6949  0.8573  5 O 2.24-2.50
Bi  0.7001  0.7001  0.3655  6 O 2.27-2.54
O  0.0194  0.0194  0.8061  1 Bi 2.18, 2 Er 2.21
O  0.0684  0.6504  0.4615  2 Bi 2.21-2.38
O  0.1174  0.5187  0.8931  1 Er 2.23, 2 Bi 2.27-2.30
O  0.3496  0.9316  0.5385  2 Bi 2.21-2.38
O  0.4813  0.8826  0.1069  1 Er 2.23, 2 Bi 2.27-2.30
O  0.4899  0.4899  0.1958  1 Bi 2.24, 2 Er 2.26
O  0.5101  0.5101  0.8042  1 Bi 2.24, 2 Er 2.26
O  0.5187  0.1174  0.8931  1 Er 2.23, 2 Bi 2.27-2.30
O  0.6504  0.0684  0.4615  2 Bi 2.21-2.38
O  0.8826  0.4813  0.1069  1 Er 2.23, 2 Bi 2.27-2.30
O  0.9316  0.3496  0.5385  2 Bi 2.21-2.38
O  0.9806  0.9806  0.1939  1 Bi 2.18, 2 Er 2.21

Question: Which of these has the lowest energy?
Answer: Er2Bi5O12

Question: What is the energy in the third record?
Answer: -3.86 eV per atom

Copy entry 4 word for word.
A plane-wave DFT calculation with PBE was carried out for Er2Bi5O12 after structural relaxation.

Results
The energy comes out at -6.31 eV per atom. The density of states at the Fermi level comes out at 7.9 states/eV/f.u. As for the uncorrected formation energy: -31.8 eV/f.u.

abc: 7.1072 7.1072 7.2854
angles: 103.98 103.98 56.23
With the nearest neighbours (Å) after each atom.
Sites, in units of the cell vectors:
Er  0.2435  0.7565  0.0000  6 O 2.21-2.26
Er  0.7565  0.2435  0.0000  6 O 2.21-2.26
Bi  0.0000  0.0000  0.5000  6 O 2.18-2.21
Bi  0.2999  0.2999  0.6345  6 O 2.27-2.54
Bi  0.3051  0.3051  0.1427  5 O 2.24-2.50
Bi  0.6949  0.6949  0.8573  5 O 2.24-2.50
Bi  0.7001  0.7001  0.3655  6 O 2.27-2.54
O  0.0194  0.0194  0.8061  1 Bi 2.18, 2 Er 2.21
O  0.0684  0.6504  0.4615  2 Bi 2.21-2.38
O  0.1174  0.5187  0.8931  1 Er 2.23, 2 Bi 2.27-2.30
O  0.3496  0.9316  0.5385  2 Bi 2.21-2.38
O  0.4813  0.8826  0.1069  1 Er 2.23, 2 Bi 2.27-2.30
O  0.4899  0.4899  0.1958  1 Bi 2.24, 2 Er 2.26
O  0.5101  0.5101  0.8042  1 Bi 2.24, 2 Er 2.26
O  0.5187  0.1174  0.8931  1 Er 2.23, 2 Bi 2.27-2.30
O  0.6504  0.0684  0.4615  2 Bi 2.21-2.38
O  0.8826  0.4813  0.1069  1 Er 2.23, 2 Bi 2.27-2.30
O  0.9316  0.3496  0.5385  2 Bi 2.21-2.38
O  0.9806  0.9806  0.1939  1 Bi 2.18, 2 Er 2.21

Copy entry 1 word for word.
A plane-wave DFT calculation with PBE was carried out for V2AgI after structural relaxation.

Results
For the distance to the lowest polymorph of the same formula, the calculation gives 0 meV per atom. The energy comes out at -4.84 eV per atom. The density of states at the Fermi level comes out at 4.6 states/eV/f.u. As for the uncorrected formation energy: 3.3 eV/f.u.

abc: 4.6287 4.6287 4.6287
angles: 60.00 60.00 60.00
With the nearest neighbours (Å) after each atom.
Sites, in units of the cell vectors:
V  0.2500  0.2500  0.2500  4 I 2.83, 4 Ag 2.83
V  0.7500  0.7500  0.7500  4 Ag 2.83, 4 I 2.83
Ag  0.0000  0.0000  0.0000  8 V 2.83
I  0.5000  0.5000  0.5000  8 V 2.83